1.
Material: Fe3WAu
Method: DFT, PBE
State: relaxed

Output
The calculation puts the energy relative to the elements at 1.4809 eV per atom. The value obtained for the relative energy among the computed polymorphs is 0.000 eV/atom. As for the calculated total energy: -34.2 eV per cell.

CIF file:
```
data_Fe3WAu
_chemical_formula_sum 'Fe3 W1 Au1'
_cell_length_a 4.4680
_cell_length_b 4.4680
_cell_length_c 4.4680
_cell_angle_alpha 90.00
_cell_angle_beta 90.00
_cell_angle_gamma 90.00
_symmetry_space_group_name_H-M 'P m -3 m'
_symmetry_Int_Tables_number 221
_symmetry_space_group_name_Hall '-P 4 2 3'
loop_
_atom_site_label
_atom_site_fract_x
_atom_site_fract_y
_atom_site_fract_z
_atom_site_occupancy
Fe1 0.0000 0.0000 0.5000 1
W1 0.0000 0.0000 0.0000 1
Au1 0.5000 0.5000 0.5000 1
```

2.
Material: TbPm2Dy2Y2
Method: DFT, PBE
State: relaxed

Output
The calculation puts the energy relative to the elements at 0.1389 eV per atom. As for the calculated total energy: -105.9 eV per cell.

CIF file:
```
data_TbPm2Dy2Y2
_chemical_formula_sum 'Tb3 Pm6 Dy6 Y6'
_cell_length_a 5.7223
_cell_length_b 5.7223
_cell_length_c 24.3929
_cell_angle_alpha 90.00
_cell_angle_beta 90.00
_cell_angle_gamma 120.00
_symmetry_space_group_name_H-M 'R -3 m'
_symmetry_Int_Tables_number 166
_symmetry_space_group_name_Hall '-R 3 2"'
loop_
_atom_site_label
_atom_site_fract_x
_atom_site_fract_y
_atom_site_fract_z
_atom_site_occupancy
Tb1 0.0000 0.0000 0.0000 1
Pm1 0.0000 0.0000 0.1389 1
Dy1 0.0000 0.0000 0.2815 1
Y1 0.0000 0.0000 0.4241 1
```

3.
Material: CrHPdAu2
Method: DFT, PBE
State: relaxed

Output
The value obtained for the relative energy among the computed polymorphs is 1.334 eV/atom. As for the calculated total energy: -17.4 eV per cell.

CIF file:
```
data_CrHPdAu2
_chemical_formula_sum 'Cr1 H1 Pd1 Au2'
_cell_length_a 4.8769
_cell_length_b 4.8769
_cell_length_c 4.5540
_cell_angle_alpha 90.00
_cell_angle_beta 90.00
_cell_angle_gamma 90.00
_symmetry_space_group_name_H-M 'P 4/m m m'
_symmetry_Int_Tables_number 123
_symmetry_space_group_name_Hall '-P 4 2'
loop_
_atom_site_label
_atom_site_fract_x
_atom_site_fract_y
_atom_site_fract_z
_atom_site_occupancy
Cr1 0.0000 0.0000 0.0000 1
H1 0.5000 0.5000 0.5000 1
Pd1 0.0000 0.0000 0.5000 1
Au1 0.0000 0.5000 0.0000 1
```

In states/eV/atom, the Fermi-level density of states values for the records above are, in order, 0.90 2.58 1.13.
In μB per formula unit, the M_tot values for the records above are, in order, 4.53 0.01 0.52.